The following is a DFT calculation (GGA-PBEsol) of a relaxed structure of CaTeAs.

Results
Crystal system ... trigonal
Magnetization ... 0.0 Bohr magnetons per cell
Raw formation energy ... -219 meV/atom

Geometry as extended XYZ:
```
3
Lattice="-2.4626 -1.2014 -2.0425 -0.0185 -0.7642 3.3310 -4.3977 6.5149 1.4702" Properties=species:S:1:pos:R:3 pbc="T T T"
As -4.2029 6.2264 1.4051
Ca -3.8159 3.5087 2.5370
Te -3.2577 1.3291 0.2868
```

The following is a DFT calculation (GGA-PBEsol) of a relaxed structure of CaTeAs.

Results
Crystal system ... cubic
Magnetization ... 0.0 Bohr magnetons per cell
Raw formation energy ... -412 meV/atom

Geometry as extended XYZ:
```
3
Lattice="4.9676 0.0000 0.0000 2.4838 4.3021 0.0000 2.4838 1.4340 4.0560" Properties=species:S:1:pos:R:3 pbc="T T T"
As 4.9676 2.8680 2.0280
Ca 2.4838 1.4340 1.0140
Te 0.0000 0.0000 0.0000
```

The following is a DFT calculation (GGA-PBEsol) of a relaxed structure of Ca3TeAs.

Results
Crystal system ... cubic
Magnetization ... 0.0 Bohr magnetons per cell
Raw formation energy ... -421 meV/atom

Geometry as extended XYZ:
```
5
Lattice="-1.2824 -4.9646 -2.4004 -0.2010 -2.4208 5.1141 -5.5108 1.2436 0.3721" Properties=species:S:1:pos:R:3 pbc="T T T"
Te 0.0000 0.0000 0.0000
As -3.4971 -3.0709 1.5429
Ca -2.7554 0.6218 0.1860
Ca -0.1005 -1.2104 2.5570
Ca -0.6412 -2.4823 -1.2002
```

The following is a DFT calculation (GGA-PBEsol) of a relaxed structure of Ca2TeAs2.

Results
Crystal system ... tetragonal
Magnetization ... 0.0 Bohr magnetons per cell
Raw formation energy ... -1045 meV/atom

Geometry as extended XYZ:
```
5
Lattice="3.9058 0.0000 0.0000 0.0000 3.9058 0.0000 -1.9529 -1.9529 8.1346" Properties=species:S:1:pos:R:3 pbc="T T T"
As 0.0000 1.9529 4.0673
As 1.9529 0.0000 4.0673
Ca 0.0000 0.0000 6.3718
Ca 1.9529 1.9529 1.7628
Te 0.0000 0.0000 0.0000
```

The following is a DFT calculation (GGA-PBEsol) of a relaxed structure of Ca2TeAs.

Results
Crystal system ... cubic
Magnetization ... 0.0 Bohr magnetons per cell
Raw formation energy ... -467 meV/atom

Geometry as extended XYZ:
```
4
Lattice="5.2516 0.0000 0.0000 2.6258 4.5480 0.0000 2.6258 1.5160 4.2879" Properties=species:S:1:pos:R:3 pbc="T T T"
Ca 0.0000 0.0000 0.0000
Ca 7.8773 4.5480 3.2159
Te 2.6258 1.5160 1.0720
As 5.2516 3.0320 2.1439
```

The following is a DFT calculation (GGA-PBEsol) of a relaxed structure of Ca2TeAsW.

Results
Crystal system ... tetragonal
Magnetization ... 4.8 Bohr magnetons per cell
Raw formation energy ... 1126 meV/atom

Geometry as extended XYZ:
```
5
Lattice="-1.5739 -4.7302 -2.1093 5.1685 -0.7857 -2.0947 1.5242 -2.6231 4.7450" Properties=species:S:1:pos:R:3 pbc="T T T"
Te 0.0000 0.0000 0.0000
W 2.5594 -4.0695 0.2705
Ca 2.5843 -0.3929 -1.0473
Ca 0.7621 -1.3115 2.3725
As -0.7870 -2.3651 -1.0547
```

The following is a DFT calculation (GGA-PBEsol) of a relaxed structure of CaTl2As.

Results
Crystal system ... monoclinic
Magnetization ... 0.0 Bohr magnetons per cell
Energy of formation ... -167 kJ/mol of formula units

Geometry as extended XYZ:
```
4
Lattice="4.0563 0.0000 0.0000 0.0000 4.3607 -0.0311 0.0000 -2.1704 6.1007" Properties=species:S:1:pos:R:3 pbc="T T T"
Ca 2.0281 -0.2592 4.0124
Tl 2.0281 1.9054 1.3156
Tl 0.0000 4.0783 0.2705
As 0.0000 1.9215 3.4749
```

The following is a DFT calculation (GGA-PBEsol) of a relaxed structure of CaTl2As.

Results
Crystal system ... cubic
Magnetization ... 0.0 Bohr magnetons per cell
Energy of formation ... -73 kJ/mol of formula units

Geometry as extended XYZ:
```
4
Lattice="-1.3020 3.6257 3.5628 -2.7632 -1.3675 4.2460 2.2864 -0.0228 4.7229" Properties=species:S:1:pos:R:3 pbc="T T T"
Tl -0.4447 0.5588 3.1329
Tl -1.3340 1.6765 9.3988
Ca -0.8894 1.1177 6.2659
As 0.0000 0.0000 0.0000
```

The following is a DFT calculation (GGA-PBEsol) of a relaxed structure of CaTlAs3.

Results
Crystal system ... cubic
Magnetization ... 0.0 Bohr magnetons per cell
Energy of formation ... 279 kJ/mol of formula units

Geometry as extended XYZ:
```
5
Lattice="-3.3622 -3.9899 -0.9078 2.8409 -3.1218 3.1987 -2.9449 1.5437 4.1222" Properties=species:S:1:pos:R:3 pbc="T T T"
As -1.6811 -1.9949 -0.4539
As -1.4725 0.7719 2.0611
As 1.4205 -1.5609 1.5993
Tl -1.7331 -2.7840 3.2065
Ca 0.0000 0.0000 0.0000
```

The following is a DFT calculation (GGA-PBEsol) of a relaxed structure of Ca2Tl2As.

Results
Crystal system ... tetragonal
Magnetization ... 0.0 Bohr magnetons per cell
Energy of formation ... 74 kJ/mol of formula units

Geometry as extended XYZ:
```
5
Lattice="-4.0975 1.8859 2.0171 -2.1920 -0.0262 -4.4282 1.0076 -6.7415 2.2979" Properties=species:S:1:pos:R:3 pbc="T T T"
Tl -3.5935 -0.2906 -0.9761
Tl -1.6883 -4.5913 0.8630
Ca -2.1646 -2.9190 -1.6679
Ca -3.1173 -1.9629 1.5547
As 0.0000 0.0000 0.0000
```

The following is a DFT calculation (GGA-PBEsol) of a relaxed structure of Ca2YAs.

Results
Crystal system ... orthorhombic
Magnetization ... 0.0 Bohr magnetons per cell
Energy of formation ... -217 kJ/mol of formula units

Geometry as extended XYZ:
```
4
Lattice="-2.6055 2.2918 1.5409 -3.3812 -1.2004 -3.9317 0.8969 -5.0700 4.3796" Properties=species:S:1:pos:R:3 pbc="T T T"
As -2.7077 -2.7952 -0.4210
Ca -2.3636 -1.1435 2.3818
Ca -4.8288 -3.4155 1.5925
Y -3.2728 -0.0574 -0.7709
```

The following is a DFT calculation (GGA-PBEsol) of a relaxed structure of CaYAs2.

Results
Crystal system ... monoclinic
Magnetization ... 0.0 Bohr magnetons per cell
Energy of formation ... -398 kJ/mol of formula units

Geometry as extended XYZ:
```
4
Lattice="3.3175 0.0439 0.0469 -0.7093 5.2070 0.0911 -0.7093 -0.2478 5.2019" Properties=species:S:1:pos:R:3 pbc="T T T"
Ca 1.6588 0.0220 0.0234
As -0.3547 -0.1239 2.6009
As -0.3547 2.6035 0.0456
Y 0.9494 2.5016 2.6699
```